# 1
Compound: MgTi2Zn2P2O10
Source: the Alexandria database
Functional: PBE
Structure: optimized geometry

The calculation puts the density of states at the Fermi level at 0.293 states/eV per atom. The energy above the lowest structure with this stoichiometry comes out at 1.86 kcal/mol of atoms. The calculation puts the uncorrected formation energy at -2.09 eV per atom.

abc: 5.7693 6.0783 7.3704
angles: 107.07 108.21 93.06
Space group P1 (No. 1)
Symmetry-distinct sites (fractional):
Mg  0.0000  0.0000  0.0000 [1 per cell]
Ti  0.2336  0.3721  0.8820 [1 per cell]
Ti  0.3113  0.4904  0.4164 [1 per cell]
Zn  0.3251  0.8117  0.8280 [1 per cell]
Zn  0.5028  0.0314  0.1758 [1 per cell]
P  0.5844  0.0507  0.6125 [1 per cell]
P  0.8525  0.6617  0.1321 [1 per cell]
O  0.0046  0.6162  0.3254 [1 per cell]
O  0.2406  0.2968  0.1450 [1 per cell]
O  0.2497  0.4901  0.6523 [1 per cell]
O  0.3940  0.0925  0.7251 [1 per cell]
O  0.5363  0.7844  0.4920 [1 per cell]
O  0.5478  0.1967  0.4663 [1 per cell]
O  0.5915  0.5229  0.0491 [1 per cell]
O  0.8436  0.9342  0.1870 [1 per cell]
O  0.8552  0.1118  0.7649 [1 per cell]
O  0.9836  0.6224  0.9699 [1 per cell]

# 2
Compound: NbTl6I12
Source: the Alexandria database
Functional: PBE
Structure: optimized geometry

The calculation puts the density of states at the Fermi level at 0.941 states/eV per atom. The calculation puts the uncorrected formation energy at -0.49 eV per atom.

abc: 14.3354 14.3354 14.8057
angles: 90.00 90.00 120.00
Space group R-3 (No. 148, hexagonal axes)
Symmetry-distinct sites (fractional):
Nb  0.0000  0.0000  0.0000 [3 per cell]
Tl  0.0440  0.7659  0.6050 [18 per cell]
I  0.0302  0.8212  0.3834 [18 per cell]
I  0.0791  0.8962  0.8915 [18 per cell]

# 3
Compound: BaTl2Re
Source: the Alexandria database
Functional: PBE
Structure: optimized geometry

The calculation puts the density of states at the Fermi level at 0.925 states/eV per atom. The energy above the lowest structure with this stoichiometry comes out at 6.34 kcal/mol of atoms. The formation energy comes out at 3.4 eV per formula unit.

abc: 3.8573 5.3779 10.3732
angles: 90.00 90.00 90.00
Space group Cmm2 (No. 35)
Symmetry-distinct sites (fractional):
Ba  0.0000  0.0000  0.0000 [2 per cell]
Tl  0.0000  0.0000  0.5686 [2 per cell]
Tl  0.0000  0.5000  0.3129 [2 per cell]
Re  0.0000  0.5000  0.7675 [2 per cell]

# 4
Compound: SrP2Br
Source: the Alexandria database
Functional: PBE
Structure: optimized geometry

The calculation puts the density of states at the Fermi level at 0.662 states/eV per atom. The energy above the lowest structure with this stoichiometry comes out at 5.23 kcal/mol of atoms. The calculation puts the uncorrected formation energy at -0.60 eV per atom.

abc: 4.4357 4.4730 6.0308
angles: 90.00 98.57 90.00
Space group P2/m (No. 10)
Symmetry-distinct sites (fractional):
Sr  0.0000  0.0000  0.0000 [1 per cell]
P  0.4781  0.5000  0.8300 [2 per cell]
Br  0.0000  0.0000  0.5000 [1 per cell]

# 5
Compound: Sc2SiP
Source: the Alexandria database
Functional: PBE
Structure: optimized geometry

The calculation puts the density of states at the Fermi level at 0.275 states/eV per atom. The energy above the lowest structure with this stoichiometry comes out at 7.94 kcal/mol of atoms. The calculation puts the uncorrected formation energy at -0.81 eV per atom.

abc: 3.8284 3.8284 9.4742
angles: 90.00 90.00 90.00
Space group I-4m2 (No. 119)
Symmetry-distinct sites (fractional):
Sc  0.0000  0.0000  0.0000 [2 per cell]
Sc  0.0000  0.5000  0.2500 [2 per cell]
Si  0.0000  0.0000  0.5000 [2 per cell]
P  0.0000  0.5000  0.7500 [2 per cell]

# 6
Compound: Mg2VTeIr
Source: the Alexandria database
Functional: PBE
Structure: optimized geometry

The calculation puts the density of states at the Fermi level at 1.285 states/eV per atom. The calculation puts the uncorrected formation energy at 1.27 eV per atom.

abc: 5.0504 5.0504 4.7958
angles: 90.00 90.00 90.00
Space group P4/mmm (No. 123)
Symmetry-distinct sites (fractional):
Mg  0.0000  0.5000  0.0000 [2 per cell]
V  0.0000  0.0000  0.5000 [1 per cell]
Te  0.0000  0.0000  0.0000 [1 per cell]
Ir  0.5000  0.5000  0.5000 [1 per cell]

# 7
Compound: Tb2Pr4YHo2
Source: the Alexandria database
Functional: PBE
Structure: optimized geometry

The calculation puts the density of states at the Fermi level at 1.565 states/eV per atom. The formation energy comes out at 0.2 eV per formula unit.

abc: 15.4038 5.1263 8.0923
angles: 90.00 108.53 90.00
Space group C2/m (No. 12)
Symmetry-distinct sites (fractional):
Tb  0.1116  0.0000  0.1700 [4 per cell]
Pr  0.0540  0.5000  0.8317 [4 per cell]
Pr  0.2230  0.0000  0.8312 [4 per cell]
Y  0.0000  0.0000  0.5000 [2 per cell]
Ho  0.1677  0.5000  0.4995 [4 per cell]

# 8
Compound: Pm6GaAu5
Source: the Alexandria database
Functional: PBE
Structure: optimized geometry

The calculation puts the density of states at the Fermi level at 0.721 states/eV per atom. The formation energy comes out at -8.9 eV per formula unit.

abc: 5.2014 7.4124 8.2603
angles: 90.00 108.34 90.00
Space group P2/m (No. 10)
Symmetry-distinct sites (fractional):
Pm  0.0000  0.2452  0.0000 [2 per cell]
Pm  0.3335  0.2516  0.6652 [4 per cell]
Ga  0.5000  0.5000  0.0000 [1 per cell]
Au  0.1553  0.5000  0.3142 [2 per cell]
Au  0.1674  0.0000  0.3381 [2 per cell]
Au  0.5000  0.0000  0.0000 [1 per cell]

Per-record V, A^3/atom: 13.628; 46.228; 26.898; 29.579; 17.357; 24.465; 33.661; 25.192